# 1
NiHgSb: optimized geometry, PBE-GGA.

Cell: 3.149 3.149 12.425 Å, 90.00 90.00 90.00°
Space group I4mm (No. 107)
Inequivalent atoms, fractional coordinates:
Ni 0.000 0.000 0.000
Hg 0.000 0.000 0.647
Sb 0.000 0.000 0.380

Its size of the total moment is 0.0 μB/cell. The density of states at the Fermi level comes out at 0.7158 states/eV/atom. The value obtained for the formation energy without anion corrections is 11.0 kJ per mole of atoms.

# 2
AgTeBr2: optimized geometry, PBE-GGA.

Cell: 8.397 3.721 8.427 Å, 90.00 92.39 90.00°
Space group Cm (No. 8)
Inequivalent atoms, fractional coordinates:
Ag 0.000 0.000 0.000
Te 0.165 0.500 0.811
Br 0.016 0.500 0.545
Br 0.332 0.000 0.161

Its size of the total moment is 0.0 μB/cell. The density of states at the Fermi level comes out at 0.7322 states/eV/atom. The value obtained for the formation energy without anion corrections is -16.0 kJ per mole of atoms.

- Number 2 is which compound?
  AgTeBr2